# 1
NaPaPbO5: relaxed, PBE.

Lattice parameters (Å, degrees): 6.374 6.374 8.183 103.13 103.13 110.84
Sites, in units of the cell vectors:
Na: 0.202 0.798 0.750
Na: 0.798 0.202 0.250
Pa: 0.500 0.500 0.000
Pa: 0.500 0.500 0.500
Pb: 0.200 0.800 0.250
Pb: 0.800 0.200 0.750
O: 0.125 0.287 0.940
O: 0.176 0.547 0.377
O: 0.287 0.125 0.440
O: 0.432 0.568 0.750
O: 0.453 0.824 0.123
O: 0.547 0.176 0.877
O: 0.568 0.432 0.250
O: 0.713 0.875 0.560
O: 0.824 0.453 0.623
O: 0.875 0.713 0.060

- ρ (g cm⁻³) = 6.31
- energy relative to the elements, uncorrected (eV/atom) = -2.157


# 2
Mn2OsPt: relaxed, PBE.

Lattice parameters (Å, degrees): 3.795 3.795 3.643 90.00 90.00 90.00
Sites, in units of the cell vectors:
Mn: 0.000 0.500 0.000
Mn: 0.500 0.000 0.000
Os: 0.000 0.000 0.500
Pt: 0.500 0.500 0.500

- energy of formation (meV/atom) = 2
- ρ (g cm⁻³) = 15.67


# 3
K2PaH3S3: relaxed, PBE.

Lattice parameters (Å, degrees): 8.048 8.048 3.520 90.00 90.00 120.00
Sites, in units of the cell vectors:
K: 0.333 0.667 0.000
K: 0.667 0.333 0.000
Pa: 0.000 0.000 0.500
H: 0.000 0.155 0.000
H: 0.155 0.000 0.000
H: 0.845 0.845 0.000
S: 0.000 0.670 0.500
S: 0.330 0.330 0.500
S: 0.670 0.000 0.500

- ρ (g cm⁻³) = 3.43
- final energy (eV for the cell shown) = -38.9


# 4
CaGaSCl2: relaxed, PBE.

Lattice parameters (Å, degrees): 5.264 5.264 5.465 90.00 90.00 90.00
Sites, in units of the cell vectors:
Ca: 0.000 0.000 0.000
Ga: 0.500 0.500 0.500
S: 0.000 0.000 0.500
Cl: 0.000 0.500 0.000
Cl: 0.500 0.000 0.000

- ρ (g cm⁻³) = 2.33
- energy relative to the elements, uncorrected (eV/atom) = -1.000
- offset from the most stable computed form (eV per atom) = 0.076


# 5
BaWBr2: relaxed, PBE.

Lattice parameters (Å, degrees): 3.534 3.534 9.145 90.00 90.00 90.00
Sites, in units of the cell vectors:
Ba: 0.000 0.000 0.000
W: 0.500 0.500 0.707
Br: 0.000 0.000 0.596
Br: 0.500 0.500 0.225

- ρ (g cm⁻³) = 6.99
- energy relative to the elements, uncorrected (eV/atom) = 0.123
- offset from the most stable computed form (eV per atom) = 0.075


# 6
CsMn2H8: relaxed, PBE.

Lattice parameters (Å, degrees): 4.570 4.570 6.241 90.01 90.01 118.61
Sites, in units of the cell vectors:
Cs: 0.000 0.000 0.000
Mn: 0.270 0.622 0.499
Mn: 0.622 0.270 0.499
H: 0.214 0.963 0.500
H: 0.466 0.466 0.334
H: 0.466 0.466 0.665
H: 0.521 0.939 0.327
H: 0.523 0.940 0.671
H: 0.939 0.521 0.327
H: 0.940 0.523 0.671
H: 0.963 0.214 0.500

- ρ (g cm⁻³) = 3.64
- final energy (eV for the cell shown) = -46.5


# 7
KCr3Hg: relaxed, PBE.

Lattice parameters (Å, degrees): 5.682 5.682 5.682 90.00 90.00 90.00
Sites, in units of the cell vectors:
K: 0.000 0.000 0.000
Cr: 0.000 0.000 0.500
Cr: 0.000 0.500 0.000
Cr: 0.500 0.000 0.000
Hg: 0.500 0.500 0.500

- energy of formation (meV/atom) = 2173
- ρ (g cm⁻³) = 3.58
- offset from the most stable computed form (eV per atom) = 0.938


# 8
Tb2ZnBPt6: relaxed, PBE.

Lattice parameters (Å, degrees): 7.334 7.334 7.334 45.00 45.00 45.00
Sites, in units of the cell vectors:
Tb: 0.209 0.209 0.209
Tb: 0.791 0.791 0.791
Zn: 0.500 0.500 0.500
B: 0.000 0.000 0.000
Pt: 0.236 0.236 0.724
Pt: 0.236 0.724 0.236
Pt: 0.276 0.764 0.764
Pt: 0.724 0.236 0.236
Pt: 0.764 0.276 0.764
Pt: 0.764 0.764 0.276

- energy of formation (meV/atom) = -887
- ρ (g cm⁻³) = 14.47


# 9
LaNd2Tl4: relaxed, PBE.

Lattice parameters (Å, degrees): 5.390 5.390 7.891 90.00 90.00 90.00
Sites, in units of the cell vectors:
La: 0.000 0.000 0.000
Nd: 0.000 0.000 0.500
Nd: 0.500 0.500 0.000
Tl: 0.000 0.500 0.271
Tl: 0.000 0.500 0.729
Tl: 0.500 0.000 0.271
Tl: 0.500 0.000 0.729

- energy of formation (meV/atom) = -235
- ρ (g cm⁻³) = 9.02


# 10
La14PuTl: relaxed, PBE.

Lattice parameters (Å, degrees): 10.367 7.299 7.299 90.03 90.00 90.00
Sites, in units of the cell vectors:
La: 0.000 0.000 0.000
La: 0.000 0.004 0.493
La: 0.000 0.493 0.004
La: 0.000 0.495 0.495
La: 0.254 0.750 0.750
La: 0.262 0.248 0.749
La: 0.262 0.749 0.248
La: 0.269 0.250 0.250
La: 0.500 0.505 0.988
La: 0.500 0.988 0.505
La: 0.731 0.250 0.250
La: 0.738 0.248 0.749
La: 0.738 0.749 0.248
La: 0.746 0.750 0.750
Pu: 0.500 0.498 0.498
Tl: 0.500 0.998 0.998

- energy of formation (meV/atom) = -29
- ρ (g cm⁻³) = 7.20


# 11
CaMnTl: relaxed, PBE.

Lattice parameters (Å, degrees): 6.146 6.146 6.146 145.42 145.42 49.71
Sites, in units of the cell vectors:
Ca: 0.000 0.000 0.000
Mn: 0.687 0.687 0.000
Tl: 0.307 0.307 0.000

- energy of formation (meV/atom) = 191
- ρ (g cm⁻³) = 6.68


# 12
BaTaAu3: relaxed, PBE.

Lattice parameters (Å, degrees): 5.788 5.788 5.788 90.00 90.00 90.00
Sites, in units of the cell vectors:
Ba: 0.000 0.000 0.000
Ta: 0.500 0.500 0.500
Au: 0.000 0.000 0.500
Au: 0.000 0.500 0.000
Au: 0.500 0.000 0.000

- energy of formation (meV/atom) = 1667
- ρ (g cm⁻³) = 7.79
- offset from the most stable computed form (eV per atom) = 1.680


# 13
HoTm2Pb: relaxed, PBE.

Lattice parameters (Å, degrees): 12.046 12.046 12.046 16.69 16.69 16.69
Sites, in units of the cell vectors:
Ho: 0.000 0.000 0.000
Tm: 0.412 0.412 0.412
Tm: 0.588 0.588 0.588
Pb: 0.500 0.500 0.500

- energy of formation (meV/atom) = 56
- ρ (g cm⁻³) = 9.37
- offset from the most stable computed form (eV per atom) = 0.336


# 14
YMoN3: relaxed, PBE.

Lattice parameters (Å, degrees): 3.680 6.005 6.332 97.67 106.30 91.19
Sites, in units of the cell vectors:
Y: 0.000 0.000 0.000
Y: 0.347 0.522 0.744
Mo: 0.639 0.066 0.488
Mo: 0.736 0.637 0.323
N: 0.104 0.995 0.391
N: 0.205 0.493 0.317
N: 0.437 0.333 0.262
N: 0.520 0.781 0.061
N: 0.805 0.758 0.643
N: 0.829 0.266 0.759

- ρ (g cm⁻³) = 5.67
- energy relative to the elements, uncorrected (eV/atom) = -0.666


# 15
LiTb2Ge4Ir3: relaxed, PBE.

Lattice parameters (Å, degrees): 4.257 4.257 10.079 90.00 90.00 90.00
Sites, in units of the cell vectors:
Li: 0.000 0.000 0.000
Tb: 0.000 0.500 0.743
Tb: 0.500 0.000 0.257
Ge: 0.000 0.000 0.500
Ge: 0.000 0.500 0.131
Ge: 0.500 0.000 0.869
Ge: 0.500 0.500 0.500
Ir: 0.000 0.500 0.372
Ir: 0.500 0.000 0.628
Ir: 0.500 0.500 0.000

- energy of formation (meV/atom) = -711
- ρ (g cm⁻³) = 10.84


# 16
LaZrRe: relaxed, PBE.

Lattice parameters (Å, degrees): 8.116 7.861 3.141 83.27 74.13 22.60
Sites, in units of the cell vectors:
La: 0.000 0.000 0.000
Zr: 0.288 0.288 0.712
Re: 0.656 0.656 0.344

- energy of formation (meV/atom) = 318
- ρ (g cm⁻³) = 10.03
- offset from the most stable computed form (eV per atom) = 0.216


# 17
Sr3InHg3: relaxed, PBE.

Lattice parameters (Å, degrees): 9.826 9.826 5.535 90.00 90.00 120.00
Sites, in units of the cell vectors:
Sr: 0.092 0.661 0.250
Sr: 0.339 0.430 0.250
Sr: 0.430 0.092 0.750
Sr: 0.570 0.908 0.250
Sr: 0.661 0.570 0.750
Sr: 0.908 0.339 0.750
In: 0.333 0.667 0.750
In: 0.667 0.333 0.250
Hg: 0.040 0.823 0.750
Hg: 0.177 0.217 0.750
Hg: 0.217 0.040 0.250
Hg: 0.783 0.960 0.750
Hg: 0.823 0.783 0.250
Hg: 0.960 0.177 0.250

- energy of formation (meV/atom) = -368
- ρ (g cm⁻³) = 7.03
- offset from the most stable computed form (eV per atom) = 0.106


# 18
Sr3PdW: relaxed, PBE.

Lattice parameters (Å, degrees): 5.684 5.684 5.684 90.00 90.00 90.00
Sites, in units of the cell vectors:
Sr: 0.000 0.000 0.500
Sr: 0.000 0.500 0.000
Sr: 0.500 0.000 0.000
Pd: 0.500 0.500 0.500
W: 0.000 0.000 0.000

- energy of formation (meV/atom) = 1125
- ρ (g cm⁻³) = 5.00
- offset from the most stable computed form (eV per atom) = 0.315


# 19
Ga2P4Pb: relaxed, PBE.

Lattice parameters (Å, degrees): 7.683 7.683 7.683 141.81 141.81 55.12
Sites, in units of the cell vectors:
Ga: 0.093 0.093 0.000
Ga: 0.907 0.907 0.000
P: 0.000 0.500 0.500
P: 0.261 0.261 0.000
P: 0.500 0.000 0.500
P: 0.739 0.739 0.000
Pb: 0.500 0.500 0.000

- energy of formation (meV/atom) = 753
- ρ (g cm⁻³) = 4.54


# 20
KPtN: relaxed, PBE.

Lattice parameters (Å, degrees): 5.954 5.954 5.954 33.51 33.51 33.51
Sites, in units of the cell vectors:
K: 0.000 0.000 0.000
Pt: 0.822 0.822 0.822
N: 0.189 0.189 0.189

- ρ (g cm⁻³) = 7.19
- energy relative to the elements, uncorrected (eV/atom) = 0.494
- offset from the most stable computed form (eV per atom) = 0.585


# 21
CrFeRhW: relaxed, PBE.

Lattice parameters (Å, degrees): 4.262 4.262 4.262 60.00 60.00 60.00
Sites, in units of the cell vectors:
Cr: 0.000 0.000 0.000
Fe: 0.500 0.500 0.500
Rh: 0.250 0.250 0.250
W: 0.750 0.750 0.750

- energy of formation (meV/atom) = 129
- ρ (g cm⁻³) = 11.97


# 22
Sn2Se2S: relaxed, PBE.

Lattice parameters (Å, degrees): 11.492 11.492 5.591 90.00 90.00 159.42
Sites, in units of the cell vectors:
Sn: 0.099 0.901 0.500
Sn: 0.305 0.695 0.495
Sn: 0.695 0.305 0.995
Sn: 0.901 0.099 0.000
Se: 0.296 0.704 0.995
Se: 0.487 0.513 0.005
Se: 0.513 0.487 0.505
Se: 0.704 0.296 0.495
S: 0.116 0.884 0.995
S: 0.884 0.116 0.495

- ρ (g cm⁻³) = 5.47
- energy relative to the elements, uncorrected (eV/atom) = -0.307
- offset from the most stable computed form (eV per atom) = 0.024


# 23
LiAlN: relaxed, PBE.

Lattice parameters (Å, degrees): 2.828 2.828 8.316 90.00 90.00 90.00
Sites, in units of the cell vectors:
Li: 0.250 0.250 0.121
Li: 0.750 0.750 0.879
Al: 0.250 0.250 0.623
Al: 0.750 0.750 0.377
N: 0.250 0.250 0.374
N: 0.750 0.750 0.626

- ρ (g cm⁻³) = 2.39
- energy relative to the elements, uncorrected (eV/atom) = -0.677
- offset from the most stable computed form (eV per atom) = 0.000


# 24
HfTaNb3: relaxed, PBE.

Lattice parameters (Å, degrees): 4.835 4.835 4.835 90.00 90.00 90.00
Sites, in units of the cell vectors:
Hf: 0.000 0.000 0.000
Ta: 0.500 0.500 0.500
Nb: 0.000 0.000 0.500
Nb: 0.000 0.500 0.000
Nb: 0.500 0.000 0.000

- energy of formation (meV/atom) = 1765
- ρ (g cm⁻³) = 9.38
- offset from the most stable computed form (eV per atom) = 1.735


# 25
V2Cr6Re: relaxed, PBE.

Lattice parameters (Å, degrees): 4.828 4.828 4.828 94.96 94.96 94.96
Sites, in units of the cell vectors:
V: 0.166 0.166 0.166
V: 0.834 0.834 0.834
Cr: 0.052 0.387 0.723
Cr: 0.277 0.948 0.613
Cr: 0.387 0.723 0.052
Cr: 0.613 0.277 0.948
Cr: 0.723 0.052 0.387
Cr: 0.948 0.613 0.277
Re: 0.500 0.500 0.500

- energy of formation (meV/atom) = -82
- ρ (g cm⁻³) = 8.96